1.
{"formula": "TiPt", "functional": "GGA-PBE", "state": "optimized geometry", "lattice": [[9.8601, 0.0000, 0.0000], [0.0000, 9.8601, 0.0000], [0.0000, 0.0000, 2.8436]], "species": ["Ti", "Ti", "Ti", "Ti", "Ti", "Ti", "Ti", "Ti", "Pt", "Pt", "Pt", "Pt", "Pt", "Pt", "Pt", "Pt"], "frac_coords": [[0.1072, 0.6444, 0.0000], [0.1444, 0.3928, 0.5000], [0.3556, 0.1072, 0.0000], [0.3928, 0.8556, 0.5000], [0.6072, 0.1444, 0.5000], [0.6444, 0.8928, 0.0000], [0.8556, 0.6072, 0.5000], [0.8928, 0.3556, 0.0000], [0.0904, 0.1760, 0.0000], [0.1760, 0.9096, 0.0000], [0.3240, 0.5904, 0.5000], [0.4096, 0.3240, 0.5000], [0.5904, 0.6760, 0.5000], [0.6760, 0.4096, 0.5000], [0.8240, 0.0904, 0.0000], [0.9096, 0.8240, 0.0000]], "m_tot_mub_per_fu": 0.000, "final_energy_ev_per_atom": -7.41}

2.
{"formula": "TiPt8", "functional": "GGA-PBE", "state": "optimized geometry", "lattice": [[-4.2155, 4.2155, 1.9644], [4.2155, -4.2155, 1.9644], [4.2155, 4.2155, -1.9644]], "species": ["Ti", "Pt", "Pt", "Pt", "Pt", "Pt", "Pt", "Pt", "Pt"], "frac_coords": [[0.0000, 0.0000, 0.0000], [0.0000, 0.3294, 0.3294], [0.0000, 0.6706, 0.6706], [0.3294, 0.0000, 0.3294], [0.3383, 0.3383, 0.6766], [0.3383, 0.6617, 0.0000], [0.6617, 0.3383, 0.0000], [0.6617, 0.6617, 0.3234], [0.6706, 0.0000, 0.6706]], "m_tot_mub_per_fu": 0.000, "final_energy_ev_per_atom": -6.71}

3.
{"formula": "TiTlPt3", "functional": "GGA-PBE", "state": "optimized geometry", "lattice": [[4.8047, 0.0000, 0.0000], [0.0000, 4.8047, 0.0000], [0.0000, 0.0000, 4.8047]], "species": ["Ti", "Tl", "Pt", "Pt", "Pt"], "frac_coords": [[0.0000, 0.0000, 0.0000], [0.5000, 0.5000, 0.5000], [0.0000, 0.0000, 0.5000], [0.0000, 0.5000, 0.0000], [0.5000, 0.0000, 0.0000]], "m_tot_mub_per_fu": 0.000, "e_above_lowest_polymorph_kcal_per_mol_atoms": 0.00, "final_energy_ev_per_atom": -5.28}

4.
{"formula": "Ti3TlPt", "functional": "GGA-PBE", "state": "optimized geometry", "lattice": [[4.9936, 0.0000, 0.0000], [0.0000, 4.9936, 0.0000], [0.0000, 0.0000, 4.9936]], "species": ["Ti", "Ti", "Ti", "Tl", "Pt"], "frac_coords": [[0.0000, 0.0000, 0.5000], [0.0000, 0.5000, 0.0000], [0.5000, 0.0000, 0.0000], [0.0000, 0.0000, 0.0000], [0.5000, 0.5000, 0.5000]], "m_tot_mub_per_fu": 3.970, "e_above_lowest_polymorph_kcal_per_mol_atoms": 26.52, "final_energy_ev_per_atom": -5.06}

5.
{"formula": "Ti2TlPt2", "functional": "GGA-PBE", "state": "optimized geometry", "lattice": [[4.3681, 0.0000, 0.0000], [0.0000, 4.3681, 0.0000], [0.0000, 0.0000, 10.4337]], "species": ["Ti", "Ti", "Ti", "Ti", "Tl", "Tl", "Pt", "Pt", "Pt", "Pt"], "frac_coords": [[0.0000, 0.5000, 0.2500], [0.0000, 0.5000, 0.7500], [0.5000, 0.0000, 0.2500], [0.5000, 0.0000, 0.7500], [0.0000, 0.0000, 0.0000], [0.5000, 0.5000, 0.5000], [0.0000, 0.0000, 0.3743], [0.0000, 0.0000, 0.6257], [0.5000, 0.5000, 0.1257], [0.5000, 0.5000, 0.8743]], "m_tot_mub_per_fu": 0.000, "final_energy_ev_per_atom": -6.56}

6.
{"formula": "Ti3TlPt", "functional": "GGA-PBE", "state": "optimized geometry", "lattice": [[4.8310, 0.0000, 0.0000], [0.0000, 4.8310, 0.0000], [0.0000, 0.0000, 4.8310]], "species": ["Ti", "Ti", "Ti", "Tl", "Pt"], "frac_coords": [[0.0000, 0.0000, 0.5000], [0.0000, 0.5000, 0.0000], [0.5000, 0.0000, 0.0000], [0.5000, 0.5000, 0.5000], [0.0000, 0.0000, 0.0000]], "m_tot_mub_per_fu": 0.000, "e_above_lowest_polymorph_kcal_per_mol_atoms": 0.00, "final_energy_ev_per_atom": -6.21}

7.
{"formula": "Ti2TlZnPt", "functional": "GGA-PBE", "state": "optimized geometry", "lattice": [[4.8563, 0.0000, 0.0000], [0.0000, 4.8563, 0.0000], [0.0000, 0.0000, 4.7852]], "species": ["Ti", "Ti", "Tl", "Zn", "Pt"], "frac_coords": [[0.0000, 0.5000, 0.0000], [0.5000, 0.0000, 0.0000], [0.0000, 0.0000, 0.5000], [0.5000, 0.5000, 0.5000], [0.5000, 0.5000, 0.0000]], "m_tot_mub_per_fu": 0.000, "final_energy_ev_per_atom": -4.89}

8.
{"formula": "TmTiPt6", "functional": "GGA-PBE", "state": "optimized geometry", "lattice": [[4.0204, 0.0000, 0.0000], [0.0000, 4.0204, 0.0000], [0.0000, 0.0000, 8.0440]], "species": ["Tm", "Ti", "Pt", "Pt", "Pt", "Pt", "Pt", "Pt"], "frac_coords": [[0.0000, 0.0000, 0.0000], [0.0000, 0.0000, 0.5000], [0.0000, 0.5000, 0.2635], [0.0000, 0.5000, 0.7365], [0.5000, 0.0000, 0.2635], [0.5000, 0.0000, 0.7365], [0.5000, 0.5000, 0.0000], [0.5000, 0.5000, 0.5000]], "m_tot_mub_per_fu": 0.000, "final_energy_ev_per_atom": -7.07}

9.
{"formula": "TmTiZnPt", "functional": "GGA-PBE", "state": "optimized geometry", "lattice": [[6.6633, 0.0000, 0.0000], [0.0000, 6.6633, 0.0000], [0.0000, 0.0000, 6.6633]], "species": ["Tm", "Tm", "Tm", "Tm", "Ti", "Ti", "Ti", "Ti", "Zn", "Zn", "Zn", "Zn", "Pt", "Pt", "Pt", "Pt"], "frac_coords": [[0.0000, 0.0000, 0.0000], [0.0000, 0.5000, 0.5000], [0.5000, 0.0000, 0.5000], [0.5000, 0.5000, 0.0000], [0.0000, 0.0000, 0.5000], [0.0000, 0.5000, 0.0000], [0.5000, 0.0000, 0.0000], [0.5000, 0.5000, 0.5000], [0.2500, 0.2500, 0.2500], [0.2500, 0.7500, 0.7500], [0.7500, 0.2500, 0.7500], [0.7500, 0.7500, 0.2500], [0.2500, 0.2500, 0.7500], [0.2500, 0.7500, 0.2500], [0.7500, 0.2500, 0.2500], [0.7500, 0.7500, 0.7500]], "m_tot_mub_per_fu": 0.831, "final_energy_ev_per_atom": -5.48}

10.
{"formula": "UTiPt2", "functional": "GGA-PBE", "state": "optimized geometry", "lattice": [[4.4250, 0.0000, 0.0000], [-2.2125, 3.8322, 0.0000], [0.0000, 0.0000, 13.8791]], "species": ["U", "U", "U", "Ti", "Ti", "Ti", "Pt", "Pt", "Pt", "Pt", "Pt", "Pt"], "frac_coords": [[0.0000, 0.0000, 0.0000], [0.3333, 0.6667, 0.6667], [0.6667, 0.3333, 0.3333], [0.0000, 0.0000, 0.5000], [0.3333, 0.6667, 0.1667], [0.6667, 0.3333, 0.8333], [0.0000, 0.0000, 0.2186], [0.0000, 0.0000, 0.7814], [0.3333, 0.6667, 0.4481], [0.3333, 0.6667, 0.8852], [0.6667, 0.3333, 0.1148], [0.6667, 0.3333, 0.5519]], "m_tot_mub_per_fu": 2.357, "e_above_lowest_polymorph_kcal_per_mol_atoms": 0.53, "final_energy_ev_per_atom": -8.46}

11.
{"formula": "UTiPt2", "functional": "GGA-PBE", "state": "optimized geometry", "lattice": [[3.1531, 0.0000, 0.0000], [0.0000, 3.1531, 0.0000], [0.0000, 0.0000, 7.3199]], "species": ["U", "Ti", "Pt", "Pt"], "frac_coords": [[0.0000, 0.0000, 0.0000], [0.0000, 0.0000, 0.5000], [0.5000, 0.5000, 0.2926], [0.5000, 0.5000, 0.7074]], "m_tot_mub_per_fu": 2.596, "e_above_lowest_polymorph_kcal_per_mol_atoms": 0.00, "final_energy_ev_per_atom": -8.49}

12.
{"formula": "UTi2Pt", "functional": "GGA-PBE", "state": "optimized geometry", "lattice": [[2.8482, 0.0000, 0.0000], [0.0000, 2.8482, 0.0000], [0.0000, 0.0000, 8.4703]], "species": ["U", "Ti", "Ti", "Pt"], "frac_coords": [[0.0000, 0.0000, 0.0000], [0.5000, 0.5000, 0.2757], [0.5000, 0.5000, 0.7243], [0.0000, 0.0000, 0.5000]], "m_tot_mub_per_fu": 0.000, "e_above_lowest_polymorph_kcal_per_mol_atoms": 0.00, "final_energy_ev_per_atom": -8.66}